1.
Below is a relaxed structure of Ac2ZnRhAu, with properties calculated at the PBE level.

- VASP energy (eV per atom) = -4.68
- crystal system = monoclinic

Geometry as extended XYZ:
```
10
Lattice="7.974 0.000 0.000 0.000 4.364 0.000 -2.908 0.000 7.688" Properties=species:S:1:pos:R:3 pbc="T T T"
Ac 0.066 1.091 2.809
Ac -0.573 1.091 7.360
Ac 5.638 3.273 0.329
Ac 5.000 3.273 4.879
Zn 2.653 3.273 2.460
Zn 2.412 1.091 5.228
Rh 0.674 3.273 0.815
Rh 4.392 1.091 6.874
Au 0.629 3.273 5.188
Au 4.437 1.091 2.501
```

2.
Below is a relaxed structure of PaSnPd14, with properties calculated at the PBE level.

- VASP energy (eV per atom) = -5.77
- crystal system = tetragonal

Geometry as extended XYZ:
```
16
Lattice="5.792 0.000 0.000 0.000 5.792 0.000 0.000 0.000 7.760" Properties=species:S:1:pos:R:3 pbc="T T T"
Pa 0.000 0.000 0.000
Sn 2.896 2.896 0.000
Pd 0.000 0.000 3.880
Pd 0.000 2.896 0.000
Pd 0.000 2.896 3.880
Pd 1.445 1.445 1.949
Pd 1.445 1.445 5.811
Pd 1.445 4.347 1.949
Pd 1.445 4.347 5.811
Pd 2.896 0.000 0.000
Pd 2.896 0.000 3.880
Pd 2.896 2.896 3.880
Pd 4.347 1.445 1.949
Pd 4.347 1.445 5.811
Pd 4.347 4.347 1.949
Pd 4.347 4.347 5.811
```

3.
Below is a relaxed structure of TbSmSn2, with properties calculated at the PBE level.

- VASP energy (eV per atom) = -4.99
- crystal system = tetragonal

Geometry as extended XYZ:
```
4
Lattice="3.496 0.000 0.000 0.000 3.496 0.000 0.000 0.000 8.917" Properties=species:S:1:pos:R:3 pbc="T T T"
Tb 0.000 0.000 0.000
Sm 0.000 0.000 4.458
Sn 1.748 1.748 2.195
Sn 1.748 1.748 6.722
```

4.
Below is a relaxed structure of Pr7Dy12Cd, with properties calculated at the PBE level.

- VASP energy (eV per atom) = -4.30
- crystal system = trigonal

Geometry as extended XYZ:
```
20
Lattice="6.167 3.560 5.140 -6.167 3.560 5.140 0.000 -7.121 5.140" Properties=species:S:1:pos:R:3 pbc="T T T"
Pr 0.000 0.000 0.000
Pr -3.645 1.042 5.679
Pr 0.920 -3.677 5.679
Pr -2.725 -2.636 9.743
Pr 2.725 2.636 5.679
Pr -0.920 3.677 9.743
Pr 3.645 -1.042 9.743
Dy -0.754 -1.986 2.955
Dy -1.343 1.645 2.955
Dy -2.001 -1.979 6.538
Dy 2.096 0.340 2.955
Dy -2.714 0.744 8.883
Dy -0.713 2.722 6.538
Dy 0.713 -2.722 8.883
Dy 2.714 -0.744 6.538
Dy -2.097 -0.340 12.467
Dy 2.001 1.979 8.883
Dy 1.343 -1.645 12.467
Dy 0.754 1.986 12.467
Cd 0.000 0.000 7.711
```

5.
Below is a relaxed structure of EuBiO2, with properties calculated at the PBE level.

- crystal system = trigonal
- uncorrected formation energy (eV per atom) = -1.96

Geometry as extended XYZ:
```
4
Lattice="1.811 1.046 6.943 -1.811 1.046 6.943 0.000 -2.091 6.943" Properties=species:S:1:pos:R:3 pbc="T T T"
Eu 0.000 0.000 0.000
Bi 0.000 0.000 10.414
O 0.000 0.000 8.101
O 0.000 0.000 12.728
```

6.
Below is a relaxed structure of Ce2Ge5Ir3, with properties calculated at the PBE level.

- VASP energy (eV per atom) = -6.89
- crystal system = orthorhombic

Geometry as extended XYZ:
```
20
Lattice="-5.141 5.944 3.049 5.141 -5.944 3.049 5.141 5.944 -3.049" Properties=species:S:1:pos:R:3 pbc="T T T"
Ce 2.348 1.588 0.000
Ce 2.348 -1.588 3.049
Ce 2.793 7.531 0.000
Ce 2.793 4.356 3.049
Ge 5.141 -2.674 1.525
Ge 6.776 1.198 0.000
Ge 0.000 0.000 1.525
Ge 1.634 4.746 0.000
Ge 5.141 2.674 1.525
Ge 0.000 3.270 1.525
Ge 3.507 1.198 3.049
Ge 0.000 0.000 4.574
Ge -1.634 4.746 3.049
Ge 0.000 8.618 1.525
Ir 3.996 -4.268 3.049
Ir 5.141 0.000 1.525
Ir 3.996 4.268 0.000
Ir 1.146 1.675 3.049
Ir 0.000 5.944 1.525
Ir 1.146 10.212 0.000
```

7.
Below is a relaxed structure of PtN2Cl, with properties calculated at the PBE level.

- crystal system = tetragonal
- uncorrected formation energy (eV per atom) = 1.41

Geometry as extended XYZ:
```
8
Lattice="-2.830 2.830 4.147 2.830 -2.830 4.147 2.830 2.830 -4.147" Properties=species:S:1:pos:R:3 pbc="T T T"
Pt 0.000 0.000 0.000
Pt 0.000 2.830 2.073
N 4.245 0.785 -1.037
N 0.785 1.415 1.037
N -1.415 2.044 3.110
N 2.044 1.415 5.183
Cl 2.830 0.000 2.073
Cl 0.000 0.000 4.147
```

8.
Below is a relaxed structure of Sr3Mg2Hg, with properties calculated at the PBE level.

- VASP energy (eV per atom) = -1.64
- crystal system = tetragonal

Geometry as extended XYZ:
```
6
Lattice="4.114 0.000 0.000 0.000 4.114 0.000 0.000 0.000 12.342" Properties=species:S:1:pos:R:3 pbc="T T T"
Sr 0.000 0.000 0.000
Sr 0.000 0.000 4.253
Sr 0.000 0.000 8.089
Mg 2.057 2.057 2.085
Mg 2.057 2.057 10.257
Hg 2.057 2.057 6.171
```

Number 1: magnetic moment 0.000 μB per atom, DOS at the Fermi energy 0.422 states/eV/atom. Number 2: magnetic moment 0.000 μB per atom, DOS at the Fermi energy 0.953 states/eV/atom. Number 3: magnetic moment 0.000 μB per atom, DOS at the Fermi energy 0.950 states/eV/atom. Number 4: magnetic moment 0.000 μB per atom, DOS at the Fermi energy 1.672 states/eV/atom. Number 5: magnetic moment 1.574 μB per atom, DOS at the Fermi energy 1.352 states/eV/atom. Number 6: magnetic moment 0.059 μB per atom, DOS at the Fermi energy 0.820 states/eV/atom. Number 7: magnetic moment 0.000 μB per atom, DOS at the Fermi energy 0.840 states/eV/atom. Number 8: magnetic moment 0.000 μB per atom, DOS at the Fermi energy 0.914 states/eV/atom.